1.
Below is a geometry-optimized LaScFe2 structure, with properties calculated at the PBE level.

Output
- ΔH_f (0 K) (meV per atom) = 69
- E_tot (hartree per atom) = -0.2564

abc: 3.872 5.442 5.442
angles: 45.32 90.00 90.00
Atoms (fractional coordinates):
La 0.000 0.000 0.000
Sc 0.500 0.287 0.287
Fe 0.000 0.715 0.715
Fe 0.500 0.625 0.625

***

2.
Below is a geometry-optimized LaScFe2 structure, with properties calculated at the PBE level.

Output
- ΔH_f (0 K) (meV per atom) = 176
- E_tot (hartree per atom) = -0.2525

abc: 4.992 4.992 6.559
angles: 123.08 123.08 44.23
Atoms (fractional coordinates):
La 0.000 0.000 0.000
Sc 0.500 0.500 0.500
Fe 0.267 0.267 0.584
Fe 0.733 0.733 0.416

***

3.
Below is a geometry-optimized La3ScFe structure, with properties calculated at the PBE level.

Output
- excess energy over the best structure of this formula in the dataset (meV per atom) = 0
- ΔH_f (0 K) (meV per atom) = 159
- E_tot (hartree per atom) = -0.2115

abc: 5.363 5.363 5.363
angles: 90.00 90.00 90.00
Atoms (fractional coordinates):
La 0.000 0.000 0.500
La 0.000 0.500 0.000
La 0.500 0.000 0.000
Sc 0.500 0.500 0.500
Fe 0.000 0.000 0.000

***

4.
Below is a geometry-optimized LaScFe2 structure, with properties calculated at the PBE level.

Output
- ΔH_f (0 K) (meV per atom) = 343
- E_tot (hartree per atom) = -0.2463

abc: 5.590 5.590 5.590
angles: 138.82 138.82 59.64
Atoms (fractional coordinates):
La 0.000 0.000 0.000
Sc 0.250 0.750 0.500
Fe 0.500 0.500 0.000
Fe 0.750 0.250 0.500

***

5.
Below is a geometry-optimized LaScFe2 structure, with properties calculated at the PBE level.

Output
- ΔH_f (0 K) (meV per atom) = 132
- E_tot (hartree per atom) = -0.2541

abc: 3.180 3.180 7.931
angles: 90.00 90.00 90.00
Atoms (fractional coordinates):
La 0.000 0.000 0.000
Sc 0.500 0.500 0.383
Fe 0.000 0.000 0.589
Fe 0.500 0.500 0.730

***

6.
Below is a geometry-optimized LaScFe2 structure, with properties calculated at the PBE level.

Output
- ΔH_f (0 K) (meV per atom) = 904
- E_tot (hartree per atom) = -0.2257

abc: 8.563 8.563 8.563
angles: 150.34 150.34 42.44
Atoms (fractional coordinates):
La 0.000 0.000 0.000
La 0.750 0.250 0.500
Sc 0.250 0.750 0.500
Sc 0.500 0.500 0.000
Fe 0.113 0.625 0.988
Fe 0.375 0.363 0.488
Fe 0.637 0.125 0.012
Fe 0.875 0.887 0.512

***

7.
Below is a geometry-optimized LaSc3Fe structure, with properties calculated at the PBE level.

Output
- excess energy over the best structure of this formula in the dataset (meV per atom) = 1600
- ΔH_f (0 K) (meV per atom) = 1574
- E_tot (hartree per atom) = -0.1802

abc: 5.077 5.077 5.077
angles: 90.00 90.00 90.00
Atoms (fractional coordinates):
La 0.000 0.000 0.000
Sc 0.000 0.000 0.500
Sc 0.000 0.500 0.000
Sc 0.500 0.000 0.000
Fe 0.500 0.500 0.500

***

8.
Below is a geometry-optimized LaScFe2 structure, with properties calculated at the PBE level.

Output
- ΔH_f (0 K) (meV per atom) = 28
- E_tot (hartree per atom) = -0.2579

abc: 6.983 6.983 6.983
angles: 32.72 32.72 32.72
Atoms (fractional coordinates):
La 0.000 0.000 0.000
Sc 0.179 0.179 0.179
Fe 0.440 0.440 0.440
Fe 0.766 0.766 0.766

***

Q: Which value of E_tot does entry 7 give?
A: -0.1802 hartree per atom